# K2Zn5As4

A relaxed K2Zn5As4 crystal (PBEsol, Alexandria via LeMat-Bulk).

Cell and atoms, written as extended XYZ:
```
22
Lattice="5.748 -3.502 0.000 5.748 3.502 0.000 0.000 0.000 11.527" Properties=species:S:1:pos:R:3 pbc="T T T"
K 2.463 0.000 0.000
K 2.463 0.000 5.764
K 9.034 0.000 0.000
K 9.034 0.000 5.764
Zn 5.748 3.452 8.646
Zn 4.109 0.764 8.646
Zn 5.748 1.072 1.256
Zn 5.748 1.072 4.507
Zn 4.109 -0.764 2.882
Zn 7.387 0.764 8.646
Zn 5.748 -1.072 7.020
Zn 5.748 -1.072 10.271
Zn 7.387 -0.764 2.882
Zn 5.748 -3.452 2.882
As 3.919 1.817 2.882
As 5.748 1.571 6.899
As 5.748 1.571 10.392
As 7.577 1.817 2.882
As 3.919 -1.817 8.646
As 5.748 -1.571 1.135
As 5.748 -1.571 4.628
As 7.577 -1.817 8.646
```

Output
DFT formation energy   -31.0 kJ per mole of atoms
E   -3.10 eV/atom